# 1
# Sr2CdPb (PBE-GGA, optimized geometry)
data_Sr2CdPb
_space_group_name_H-M_alt 'R -3 m'
_space_group_IT_number 166
_space_group_name_Hall '-R 3 2"'
_cell_length_a 4.1549
_cell_length_b 4.1549
_cell_length_c 30.2631
_cell_angle_alpha 90.00
_cell_angle_beta 90.00
_cell_angle_gamma 120.00
loop_
_atom_site_label
_atom_site_type_symbol
_atom_site_fract_x
_atom_site_fract_y
_atom_site_fract_z
Sr1 Sr 0.0000 0.0000 0.2503
Cd1 Cd 0.0000 0.0000 0.0000
Pb1 Pb 0.0000 0.0000 0.5000
# Magnetic moment   0.133 μB per formula unit
# Excess energy over the best structure of this formula in the dataset   276 meV/atom
# Theoretical density   5.45 g cm⁻³
# Formation energy from the elements   -0.23 eV per atom

# 2
# Tl2FeIr (PBE-GGA, optimized geometry)
data_Tl2FeIr
_space_group_name_H-M_alt 'I m m 2'
_space_group_IT_number 44
_cell_length_a 3.033
_cell_length_b 4.680
_cell_length_c 11.492
_cell_angle_alpha 90.00
_cell_angle_beta 90.00
_cell_angle_gamma 90.00
loop_
_space_group_symop_operation_xyz
'x,y,z'
'-x,-y,z'
'-x,y,z'
'x,-y,z'
'x+1/2,y+1/2,z+1/2'
'-x+1/2,-y+1/2,z+1/2'
'-x+1/2,y+1/2,z+1/2'
'x+1/2,-y+1/2,z+1/2'
loop_
_atom_site_label
_atom_site_type_symbol
_atom_site_fract_x
_atom_site_fract_y
_atom_site_fract_z
Tl1 Tl 0.000 0.000 0.000
Tl2 Tl 0.000 0.500 0.213
Fe1 Fe 0.000 0.500 0.785
Ir1 Ir 0.000 0.000 0.461
# Magnetic moment   3.401 μB per formula unit
# Excess energy over the best structure of this formula in the dataset   158 meV/atom
# Theoretical density   13.37 g cm⁻³
# Formation energy from the elements   0.51 eV per atom

# 3
# Cr2FeAg (PBE-GGA, optimized geometry)
data_Cr2FeAg
_space_group_name_H-M_alt 'R -3 m'
_space_group_IT_number 166
_space_group_name_Hall '-R 3 2"'
_cell_length_a 2.6054
_cell_length_b 2.6054
_cell_length_c 26.5058
_cell_angle_alpha 90.00
_cell_angle_beta 90.00
_cell_angle_gamma 120.00
loop_
_atom_site_label
_atom_site_type_symbol
_atom_site_fract_x
_atom_site_fract_y
_atom_site_fract_z
Cr1 Cr 0.0000 0.0000 0.2408
Fe1 Fe 0.0000 0.0000 0.5000
Ag1 Ag 0.0000 0.0000 0.0000
# Magnetic moment   0.119 μB per formula unit
# Excess energy over the best structure of this formula in the dataset   151 meV/atom
# Theoretical density   8.56 g cm⁻³
# Formation energy from the elements   0.49 eV per atom

# 4
# NaNb2OsF (PBE-GGA, optimized geometry)
data_NaNb2OsF
_space_group_name_H-M_alt 'P 4/m m m'
_space_group_IT_number 123
_space_group_name_Hall '-P 4 2'
_cell_length_a 4.987
_cell_length_b 4.987
_cell_length_c 4.208
_cell_angle_alpha 90.00
_cell_angle_beta 90.00
_cell_angle_gamma 90.00
loop_
_atom_site_label
_atom_site_type_symbol
_atom_site_fract_x
_atom_site_fract_y
_atom_site_fract_z
Na1 Na 0.000 0.000 0.000
Nb1 Nb 0.000 0.500 0.500
Os1 Os 0.500 0.500 0.500
F1 F 0.500 0.500 0.000
# Magnetic moment   0.676 μB per formula unit
# Theoretical density   6.63 g cm⁻³
# Final energy   -6.10 eV/atom